Density functional theory data (PBE) for a geometry-optimized K2MgSc structure.

V in Å³/atom: 43.41
VASP energy in eV/atom: -2.09
DOS at the Fermi energy in states/eV/cell: 8.808
Total moment in μB per formula unit: 0.411

abc: 10.661 3.452 9.451
angles: 90.00 93.33 90.00
Space group Cm (No. 8)
One atom of each set of equivalent atoms:
K1 0.000 0.000 0.000
K2 0.234 0.000 0.641
Mg1 0.249 0.500 0.266
Sc1 0.477 0.000 0.375



Density functional theory data (PBE) for a geometry-optimized SrGa4Cu2Pd structure.

V in Å³/atom: 18.58
VASP energy in eV/atom: -3.74
DOS at the Fermi energy in states/eV/cell: 6.882
Total moment in μB per formula unit: 0.000

abc: 4.2360 4.2360 28.6938
angles: 90.00 90.00 120.00
Space group R-3m (No. 166, hexagonal axes)
One atom of each set of equivalent atoms:
Sr1 0.0000 0.0000 0.0000
Ga1 0.0000 0.0000 0.1273
Ga2 0.0000 0.0000 0.4067
Cu1 0.0000 0.0000 0.2285
Pd1 0.0000 0.0000 0.5000



Density functional theory data (PBE) for a geometry-optimized PmHoSO2 structure.

V in Å³/atom: 18.67
VASP energy in eV/atom: -7.77
DOS at the Fermi energy in states/eV/cell: 0.000
Total moment in μB per formula unit: 0.000
E_form (uncorrected) in eV/atom: -3.10

abc: 6.429 4.038 7.591
angles: 90.00 108.67 90.00
Space group P2_1/m (No. 11)
One atom of each set of equivalent atoms:
Pm1 0.195 0.250 0.430
Ho1 0.181 0.250 0.924
S1 0.457 0.750 0.744
O1 0.017 0.750 0.372
O2 0.020 0.750 0.888



Density functional theory data (PBE) for a geometry-optimized Tb4SiPt3 structure.

V in Å³/atom: 22.62
VASP energy in eV/atom: -6.39
DOS at the Fermi energy in states/eV/cell: 6.035
Total moment in μB per formula unit: 0.000
E_form (uncorrected) in eV/atom: -1.14

abc: 3.938 4.276 10.747
angles: 90.00 90.00 90.00
Space group Pmm2 (No. 25)
One atom of each set of equivalent atoms:
Tb1 0.000 0.000 0.000
Tb2 0.000 0.500 0.281
Tb3 0.500 0.000 0.498
Tb4 0.500 0.500 0.779
Si1 0.000 0.000 0.715
Pt1 0.000 0.500 0.562
Pt2 0.500 0.000 0.227
Pt3 0.500 0.500 0.049